(1)
Density functional theory data (PBE-GGA) for a geometry-optimized Ti6GaFe5 structure.

- Theoretical density: 6.58 Mg/m³
- M_tot: 0.58 μB/f.u.
- V: 160.7 Å³/cell

Cell: 7.3158 7.3158 7.3158 Å, 146.47 131.44 60.31°
Closest atoms and distances in Å follow each position.
Fractional positions:
1 Ti 0.0747 0.3293 0.7454  7 Fe 2.55-2.62, 1 Ga 2.65
2 Ti 0.2383 0.0000 0.2383  6 Fe 2.55-2.62, 2 Ga 2.63
3 Ti 0.4162 0.6707 0.7454  7 Fe 2.55-2.62, 1 Ga 2.65
4 Ti 0.5838 0.3293 0.2546  7 Fe 2.55-2.62, 1 Ga 2.65
5 Ti 0.7617 0.0000 0.7617  6 Fe 2.55-2.62, 2 Ga 2.63
6 Ti 0.9253 0.6707 0.2546  7 Fe 2.55-2.62, 1 Ga 2.65
7 Ga 0.5000 0.5000 0.0000  8 Ti 2.63-2.65
8 Fe 0.0000 0.5000 0.5000  8 Ti 2.55-2.62
9 Fe 0.1678 0.1678 0.0000  8 Ti 2.55-2.58
10 Fe 0.3348 0.8348 0.5000  8 Ti 2.55-2.62
11 Fe 0.6652 0.1652 0.5000  8 Ti 2.55-2.62
12 Fe 0.8322 0.8322 0.0000  8 Ti 2.55-2.58

(2)
Density functional theory data (PBE-GGA) for a geometry-optimized AlMoAu structure.

- Theoretical density: 10.85 Mg/m³
- M_tot: 0.67 μB/f.u.
- V: 48.9 Å³/cell

Cell: 4.4179 4.4179 2.8957 Å, 90.00 90.00 120.00°
Closest atoms and distances in Å follow each position.
Fractional positions:
1 Al 0.0000 0.0000 0.0000  3 Au 2.55
2 Mo 0.3333 0.6667 0.5000  2 Mo 2.90, 6 Al 2.93, 6 Au 2.93
3 Au 0.6667 0.3333 0.0000  3 Al 2.55

(3)
Density functional theory data (PBE-GGA) for a geometry-optimized LaNdTc4 structure.

- Theoretical density: 9.48 Mg/m³
- M_tot: 0.02 μB/f.u.
- V: 118.2 Å³/cell

Cell: 5.5094 5.5094 5.5094 Å, 60.00 60.00 60.00°
Closest atoms and distances in Å follow each position.
Fractional positions:
1 La 0.0000 0.0000 0.0000  12 Tc 3.23, 4 Nd 3.37
2 Nd 0.2500 0.2500 0.2500  12 Tc 3.23, 4 La 3.37
3 Tc 0.1252 0.6249 0.6249  6 Tc 2.75-2.76
4 Tc 0.6249 0.1252 0.6249  6 Tc 2.75-2.76
5 Tc 0.6249 0.6249 0.1252  6 Tc 2.75-2.76
6 Tc 0.6249 0.6249 0.6249  6 Tc 2.75-2.76

(4)
Density functional theory data (PBE-GGA) for a geometry-optimized PmGaP2 structure.

- Theoretical density: 5.09 Mg/m³
- M_tot: 0.00 μB/f.u.
- V: 90.2 Å³/cell

Cell: 3.9091 3.9091 5.9058 Å, 90.00 90.00 90.00°
Closest atoms and distances in Å follow each position.
Fractional positions:
1 Pm 0.0000 0.0000 0.0000  2 Ga 2.95, 8 P 2.98
2 Ga 0.0000 0.0000 0.5000  2 Pm 2.95
3 P 0.5000 0.5000 0.1907  1 P 2.25
4 P 0.5000 0.5000 0.8093  1 P 2.25

Results for ΔH_f (0 K): -372 47 94 -524 (in meV/atom, following the order of the records).